Record 1
The following is a DFT calculation (GGA-PBEsol) of a relaxed MgCrW crystal.

Results
Electronic total energy ... -21.5 eV per formula unit
Formation enthalpy at 0 K ... 1.433 eV per atom
Space group ... No. 216

Lattice parameters (Å, degrees): 5.985 5.985 5.985 90.00 90.00 90.00
Sites, in units of the cell vectors:
Mg 0.000 0.000 0.000
Mg 0.000 0.500 0.500
Mg 0.500 0.000 0.500
Mg 0.500 0.500 0.000
Cr 0.000 0.000 0.500
Cr 0.000 0.500 0.000
Cr 0.500 0.000 0.000
Cr 0.500 0.500 0.500
W 0.250 0.250 0.250
W 0.250 0.750 0.750
W 0.750 0.250 0.750
W 0.750 0.750 0.250



Record 2
The following is a DFT calculation (GGA-PBEsol) of a relaxed Y2MgCr crystal.

Results
Electronic total energy ... -24.8 eV per formula unit
Formation enthalpy at 0 K ... 0.193 eV per atom
Space group ... No. 123

Lattice parameters (Å, degrees): 3.517 3.517 7.831 90.00 90.00 90.00
Sites, in units of the cell vectors:
Y 0.000 0.000 0.217
Y 0.000 0.000 0.783
Mg 0.500 0.500 0.500
Cr 0.500 0.500 0.000



Record 3
The following is a DFT calculation (GGA-PBEsol) of a relaxed YMgCr2 crystal.

Results
Electronic total energy ... -27.1 eV per formula unit
Formation enthalpy at 0 K ... 0.477 eV per atom
Space group ... No. 216

Lattice parameters (Å, degrees): 6.702 6.702 6.702 90.00 90.00 90.00
Sites, in units of the cell vectors:
Y 0.000 0.000 0.000
Y 0.000 0.500 0.500
Y 0.500 0.000 0.500
Y 0.500 0.500 0.000
Mg 0.250 0.250 0.250
Mg 0.250 0.750 0.750
Mg 0.750 0.250 0.750
Mg 0.750 0.750 0.250
Cr 0.000 0.000 0.500
Cr 0.000 0.500 0.000
Cr 0.250 0.250 0.750
Cr 0.250 0.750 0.250
Cr 0.500 0.000 0.000
Cr 0.500 0.500 0.500
Cr 0.750 0.250 0.250
Cr 0.750 0.750 0.750



Record 4
The following is a DFT calculation (GGA-PBEsol) of a relaxed Y2MgCr2 crystal.

Results
Electronic total energy ... -31.6 eV per formula unit
Formation enthalpy at 0 K ... 0.840 eV per atom
Space group ... No. 139

Lattice parameters (Å, degrees): 4.523 4.523 11.385 90.00 90.00 90.00
Sites, in units of the cell vectors:
Y 0.000 0.500 0.250
Y 0.000 0.500 0.750
Y 0.500 0.000 0.250
Y 0.500 0.000 0.750
Mg 0.000 0.000 0.000
Mg 0.500 0.500 0.500
Cr 0.000 0.000 0.422
Cr 0.000 0.000 0.578
Cr 0.500 0.500 0.078
Cr 0.500 0.500 0.922



Record 5
The following is a DFT calculation (GGA-PBEsol) of a relaxed YMgCr4 crystal.

Results
Electronic total energy ... -46.9 eV per formula unit
Formation enthalpy at 0 K ... 0.437 eV per atom
Space group ... No. 216

Lattice parameters (Å, degrees): 5.020 5.020 5.020 60.00 60.00 60.00
Sites, in units of the cell vectors:
Y 0.000 0.000 0.000
Mg 0.750 0.750 0.750
Cr 0.375 0.375 0.375
Cr 0.375 0.375 0.875
Cr 0.375 0.875 0.375
Cr 0.875 0.375 0.375



Record 6
The following is a DFT calculation (GGA-PBEsol) of a relaxed Y2MgCr2 crystal.

Results
Electronic total energy ... -33.7 eV per formula unit
Formation enthalpy at 0 K ... 0.421 eV per atom
Space group ... No. 139

Lattice parameters (Å, degrees): 3.279 3.279 20.106 90.00 90.00 90.00
Sites, in units of the cell vectors:
Y 0.000 0.000 0.128
Y 0.000 0.000 0.872
Y 0.500 0.500 0.372
Y 0.500 0.500 0.628
Mg 0.000 0.000 0.500
Mg 0.500 0.500 0.000
Cr 0.000 0.500 0.250
Cr 0.000 0.500 0.750
Cr 0.500 0.000 0.250
Cr 0.500 0.000 0.750



Record 7
The following is a DFT calculation (GGA-PBEsol) of a relaxed YMg4Cr crystal.

Results
Electronic total energy ... -22.3 eV per formula unit
Formation enthalpy at 0 K ... 0.267 eV per atom
Space group ... No. 216

Lattice parameters (Å, degrees): 5.746 5.746 5.746 60.00 60.00 60.00
Sites, in units of the cell vectors:
Y 0.000 0.000 0.000
Mg 0.375 0.375 0.375
Mg 0.375 0.375 0.874
Mg 0.375 0.874 0.375
Mg 0.874 0.375 0.375
Cr 0.750 0.750 0.750



Record 8
The following is a DFT calculation (GGA-PBEsol) of a relaxed YMgCr2 crystal.

Results
Electronic total energy ... -25.4 eV per formula unit
Formation enthalpy at 0 K ... 0.911 eV per atom
Space group ... No. 123

Lattice parameters (Å, degrees): 2.709 2.709 9.016 90.00 90.00 90.00
Sites, in units of the cell vectors:
Y 0.000 0.000 0.000
Mg 0.000 0.000 0.500
Cr 0.500 0.500 0.263
Cr 0.500 0.500 0.737



Record 9
The following is a DFT calculation (GGA-PBEsol) of a relaxed MgZn2Cr crystal.

Results
Electronic total energy ... -14.3 eV per formula unit
Formation enthalpy at 0 K ... 0.210 eV per atom
Space group ... No. 65

Lattice parameters (Å, degrees): 5.499 7.487 2.703 90.00 90.00 90.00
Sites, in units of the cell vectors:
Mg 0.000 0.000 0.000
Mg 0.500 0.500 0.000
Zn 0.250 0.250 0.500
Zn 0.250 0.750 0.500
Zn 0.750 0.250 0.500
Zn 0.750 0.750 0.500
Cr 0.000 0.500 0.000
Cr 0.500 0.000 0.000



Record 10
The following is a DFT calculation (GGA-PBEsol) of a relaxed MgZnCr2 crystal.

Results
Electronic total energy ... -22.1 eV per formula unit
Formation enthalpy at 0 K ... 0.433 eV per atom
Space group ... No. 123

Lattice parameters (Å, degrees): 3.516 3.516 4.232 90.00 90.00 90.00
Sites, in units of the cell vectors:
Mg 0.000 0.000 0.000
Zn 0.500 0.500 0.000
Cr 0.000 0.500 0.500
Cr 0.500 0.000 0.500



Record 11
The following is a DFT calculation (GGA-PBEsol) of a relaxed Mg2ZnCr crystal.

Results
Electronic total energy ... -13.9 eV per formula unit
Formation enthalpy at 0 K ... 0.344 eV per atom
Space group ... No. 35

Lattice parameters (Å, degrees): 3.515 4.163 8.738 90.00 90.00 90.00
Sites, in units of the cell vectors:
Mg 0.000 0.000 0.000
Mg 0.000 0.500 0.304
Mg 0.500 0.000 0.304
Mg 0.500 0.500 0.000
Zn 0.000 0.000 0.555
Zn 0.500 0.500 0.555
Cr 0.000 0.500 0.764
Cr 0.500 0.000 0.764



Record 12
The following is a DFT calculation (GGA-PBEsol) of a relaxed MgZnCr2 crystal.

Results
Electronic total energy ... -23.0 eV per formula unit
Formation enthalpy at 0 K ... 0.184 eV per atom
Space group ... No. 99

Lattice parameters (Å, degrees): 2.974 2.974 6.386 90.00 90.00 90.00
Sites, in units of the cell vectors:
Mg 0.000 0.000 0.000
Zn 0.500 0.500 0.287
Cr 0.000 0.000 0.541
Cr 0.500 0.500 0.699



Record 13
The following is a DFT calculation (GGA-PBEsol) of a relaxed MgZn2Cr crystal.

Results
Electronic total energy ... -14.1 eV per formula unit
Formation enthalpy at 0 K ... 0.262 eV per atom
Space group ... No. 12

Lattice parameters (Å, degrees): 8.865 2.919 4.997 90.00 101.33 90.00
Sites, in units of the cell vectors:
Mg 0.000 0.000 0.000
Mg 0.500 0.500 0.000
Zn 0.243 0.000 0.723
Zn 0.257 0.500 0.277
Zn 0.743 0.500 0.723
Zn 0.757 0.000 0.277
Cr 0.000 0.500 0.500
Cr 0.500 0.000 0.500



Record 14
The following is a DFT calculation (GGA-PBEsol) of a relaxed MgZn4Cr crystal.

Results
Electronic total energy ... -18.2 eV per formula unit
Formation enthalpy at 0 K ... 0.023 eV per atom
Space group ... No. 216

Lattice parameters (Å, degrees): 5.017 5.017 5.017 60.00 60.00 60.00
Sites, in units of the cell vectors:
Mg 0.000 0.000 0.000
Zn 0.376 0.376 0.376
Zn 0.376 0.376 0.873
Zn 0.376 0.873 0.376
Zn 0.873 0.376 0.376
Cr 0.750 0.750 0.750



Record 15
The following is a DFT calculation (GGA-PBEsol) of a relaxed MgZnCr2 crystal.

Results
Electronic total energy ... -21.9 eV per formula unit
Formation enthalpy at 0 K ... 0.480 eV per atom
Space group ... No. 123

Lattice parameters (Å, degrees): 3.261 3.261 5.483 90.00 90.00 90.00
Sites, in units of the cell vectors:
Mg 0.000 0.000 0.000
Zn 0.000 0.000 0.500
Cr 0.500 0.500 0.322
Cr 0.500 0.500 0.678



Record 16
The following is a DFT calculation (GGA-PBEsol) of a relaxed MgZn2Cr crystal.

Results
Electronic total energy ... -14.2 eV per formula unit
Formation enthalpy at 0 K ... 0.230 eV per atom
Space group ... No. 119

Lattice parameters (Å, degrees): 3.880 3.880 8.245 90.00 90.00 90.00
Sites, in units of the cell vectors:
Mg 0.000 0.000 0.000
Mg 0.500 0.500 0.500
Zn 0.000 0.000 0.500
Zn 0.000 0.500 0.250
Zn 0.500 0.000 0.750
Zn 0.500 0.500 0.000
Cr 0.000 0.500 0.750
Cr 0.500 0.000 0.250



Record 17
The following is a DFT calculation (GGA-PBEsol) of a relaxed MgZn2Cr crystal.

Results
Electronic total energy ... -14.5 eV per formula unit
Formation enthalpy at 0 K ... 0.155 eV per atom
Space group ... No. 123

Lattice parameters (Å, degrees): 3.142 3.142 6.129 90.00 90.00 90.00
Sites, in units of the cell vectors:
Mg 0.000 0.000 0.000
Zn 0.500 0.500 0.280
Zn 0.500 0.500 0.720
Cr 0.000 0.000 0.500



Record 18
The following is a DFT calculation (GGA-PBEsol) of a relaxed Mg2ZrCr crystal.

Results
Electronic total energy ... -21.1 eV per formula unit
Formation enthalpy at 0 K ... 0.419 eV per atom
Space group ... No. 225

Lattice parameters (Å, degrees): 6.745 6.745 6.745 90.00 90.00 90.00
Sites, in units of the cell vectors:
Mg 0.250 0.250 0.250
Mg 0.250 0.250 0.750
Mg 0.250 0.750 0.250
Mg 0.250 0.750 0.750
Mg 0.750 0.250 0.250
Mg 0.750 0.250 0.750
Mg 0.750 0.750 0.250
Mg 0.750 0.750 0.750
Zr 0.000 0.000 0.000
Zr 0.000 0.500 0.500
Zr 0.500 0.000 0.500
Zr 0.500 0.500 0.000
Cr 0.000 0.000 0.500
Cr 0.000 0.500 0.000
Cr 0.500 0.000 0.000
Cr 0.500 0.500 0.500



Record 19
The following is a DFT calculation (GGA-PBEsol) of a relaxed MnCr3 crystal.

Results
Electronic total energy ... -40.3 eV per formula unit
Formation enthalpy at 0 K ... 0.036 eV per atom
Space group ... No. 166

Lattice parameters (Å, degrees): 7.889 7.889 2.429 90.00 90.00 120.00
Sites, in units of the cell vectors:
Mn 0.000 0.000 0.000
Mn 0.333 0.667 0.667
Mn 0.667 0.333 0.333
Cr 0.000 0.500 0.000
Cr 0.167 0.333 0.333
Cr 0.167 0.833 0.333
Cr 0.333 0.167 0.667
Cr 0.500 0.000 0.000
Cr 0.500 0.500 0.000
Cr 0.667 0.833 0.333
Cr 0.833 0.167 0.667
Cr 0.833 0.667 0.667



Record 20
The following is a DFT calculation (GGA-PBEsol) of a relaxed Mn2Cr crystal.

Results
Electronic total energy ... -29.5 eV per formula unit
Formation enthalpy at 0 K ... 0.101 eV per atom
Space group ... No. 62

Lattice parameters (Å, degrees): 4.804 3.837 6.981 90.00 90.00 90.00
Sites, in units of the cell vectors:
Mn 0.023 0.250 0.235
Mn 0.167 0.250 0.570
Mn 0.333 0.750 0.070
Mn 0.477 0.750 0.735
Mn 0.523 0.250 0.265
Mn 0.667 0.250 0.930
Mn 0.833 0.750 0.430
Mn 0.977 0.750 0.765
Cr 0.176 0.250 0.911
Cr 0.324 0.750 0.411
Cr 0.676 0.250 0.589
Cr 0.824 0.750 0.089